# PBE ErTm4Pb, relaxed
data_ErTm4Pb
_chemical_formula_sum 'Er4 Tm16 Pb4'
_cell_length_a 6.476
_cell_length_b 18.844
_cell_length_c 5.780
_cell_angle_alpha 90.00
_cell_angle_beta 95.04
_cell_angle_gamma 90.00
_symmetry_space_group_name_H-M 'C 1 2/c 1'
_symmetry_Int_Tables_number 15
_symmetry_space_group_name_Hall '-C 2yc'
loop_
_atom_site_label
_atom_site_fract_x
_atom_site_fract_y
_atom_site_fract_z
Er1 0.000 0.128 0.250
Tm1 0.244 0.465 0.167
Tm2 0.249 0.209 0.748
Pb1 0.000 0.372 0.750
# Crystal system = monoclinic
# E_tot = -4.371 eV per atom
# Offset from the most stable computed form = 11.9 kJ/mol of atoms
# Calculated formation energy = -0.01 eV per atom
# Magnetic moment = 0.002 μB per cell

=====

# PBE Er3Tm4Pb, relaxed
data_Er3Tm4Pb
_chemical_formula_sum 'Er6 Tm8 Pb2'
_cell_length_a 12.026
_cell_length_b 6.877
_cell_length_c 6.062
_cell_angle_alpha 90.00
_cell_angle_beta 110.16
_cell_angle_gamma 90.00
_symmetry_space_group_name_H-M 'C 1 2/m 1'
_symmetry_Int_Tables_number 12
_symmetry_space_group_name_Hall '-C 2y'
loop_
_atom_site_label
_atom_site_fract_x
_atom_site_fract_y
_atom_site_fract_z
Er1 0.000 0.000 0.000
Er2 0.000 0.250 0.500
Tm1 0.248 0.500 0.484
Tm2 0.250 0.250 0.000
Pb1 0.000 0.500 0.000
# Crystal system = monoclinic
# E_tot = -4.505 eV per atom
# Offset from the most stable computed form = 2.7 kJ/mol of atoms
# Calculated formation energy = -0.09 eV per atom
# Magnetic moment = 0.000 μB per cell